Record 1
Computed, not measured: a relaxed structure of AcBe2ReO8 at the PBE-GGA level of DFT.

The structure in POSCAR format:
```
AcBe2ReO8
1.0
-4.7354 1.1967 -0.8366
-2.8366 -3.6249 -1.8356
-1.8197 -2.0766 6.5639
O Ac Re Be
8 1 1 2
Direct
0.2952 0.2952 0.5646
0.7048 0.7048 0.4354
0.2118 0.7163 0.8100
0.7882 0.2837 0.1900
0.7163 0.2118 0.8100
0.2109 0.2109 0.9269
0.2837 0.7882 0.1900
0.7891 0.7891 0.0731
0.0000 0.0000 0.5000
0.0000 0.0000 0.0000
0.6419 0.6419 0.2200
0.3581 0.3581 0.7800
```

Results
The space group is C2/m (12). The calculation puts the formation energy (no corrections) at -1.99 eV/atom. The value obtained for the total energy is -87.553 eV for the cell shown.

***

Record 2
Computed, not measured: a relaxed structure of DyZn6Pd2 at the PBE-GGA level of DFT.

The structure in POSCAR format:
```
DyZn6Pd2
1.0
-0.3366 -2.3980 -2.7453
6.8157 -2.3569 -1.2175
2.7504 -6.2310 2.6650
Zn Pd Dy
6 2 1
Direct
0.6853 0.6226 0.0067
0.5000 0.6743 0.3257
0.3147 0.9933 0.3774
0.6853 0.0067 0.6226
0.3147 0.3774 0.9933
0.5000 0.3257 0.6743
0.1268 0.3732 0.3732
0.8732 0.6268 0.6268
0.0000 0.0000 0.0000
```

Results
The space group is Immm (71). The calculation puts the energy of formation at -0.301 eV per atom. The value obtained for the total energy is -25.340 eV for the cell shown.

***

Record 3
Computed, not measured: a relaxed structure of SiSbOs2 at the PBE-GGA level of DFT.

The structure in POSCAR format:
```
SiSbOs2
1.0
-1.4859 -3.7523 -2.2817
2.5793 -1.4317 0.6748
-1.7446 -1.6464 3.8436
Os Si Sb
2 1 1
Direct
0.5000 0.3566 0.2159
0.0000 0.8680 0.0008
0.5000 0.8970 0.7741
0.0000 0.3784 0.5092
```

Results
The space group is Pm (6). The calculation puts the formation energy (no corrections) at 0.25 eV/atom. For the energy above the most stable polymorph in this dataset, the calculation gives 85.7 meV/atom. The value obtained for the total energy is -30.990 eV for the cell shown.

***

Record 4
Computed, not measured: a relaxed structure of RbBiPbSe3 at the PBE-GGA level of DFT.

The structure in POSCAR format:
```
RbBiPbSe3
1.0
-1.6895 2.7585 -2.8545
-7.7217 -5.5347 -0.7783
-2.7438 6.5937 7.9959
Se Rb Bi Pb
6 2 2 2
Direct
0.7500 0.4229 0.1332
0.2500 0.1373 0.8354
0.7500 0.3391 0.5708
0.7500 0.8627 0.1646
0.2500 0.6609 0.4292
0.2500 0.5771 0.8668
0.2500 0.1683 0.1946
0.7500 0.8317 0.8054
0.7500 0.3657 0.8550
0.2500 0.6343 0.1450
0.2500 0.1451 0.5709
0.7500 0.8549 0.4291
```

Results
The space group is P2_1/m (11). The calculation puts the formation energy (no corrections) at -0.63 eV/atom. The value obtained for the total energy is -45.633 eV for the cell shown.

***

Record 5
Computed, not measured: a relaxed structure of RbSeBr4 at the PBE-GGA level of DFT.

The structure in POSCAR format:
```
RbSeBr4
1.0
-4.0951 -3.3527 4.8636
0.2750 -4.1170 -5.8858
6.6137 1.0411 2.6146
Br Rb Se
4 1 1
Direct
0.7220 0.7206 0.4400
0.2806 0.2820 0.5600
0.7180 0.2780 0.9986
0.2794 0.7194 0.0014
0.7500 0.2500 0.5000
0.5000 0.5000 0.0000
```

Results
The space group is I-4 (82). The calculation puts the formation energy (no corrections) at -0.62 eV/atom. For the energy above the most stable polymorph in this dataset, the calculation gives 4.8 meV/atom. The value obtained for the total energy is -14.891 eV for the cell shown.

***

Record 6
Computed, not measured: a relaxed structure of YVCu at the PBE-GGA level of DFT.

The structure in POSCAR format:
```
YVCu
1.0
-2.2051 1.5368 -3.1292
-4.1364 -3.5182 -1.0416
-4.3561 1.4338 3.4916
V Cu Y
2 2 2
Direct
0.7128 0.2441 0.7612
0.0103 0.4671 0.6620
0.4534 0.6150 0.3803
0.8614 0.8425 0.1978
0.3926 0.8099 0.8438
0.1492 0.2373 0.2302
```

Results
The space group is P1 (1). The calculation puts the energy of formation at 0.146 eV per atom. For the energy above the most stable polymorph in this dataset, the calculation gives 63.4 meV/atom. The value obtained for the total energy is -38.484 eV for the cell shown.

***

Record 7
Computed, not measured: a relaxed structure of Na5MnTe5 at the PBE-GGA level of DFT.

The structure in POSCAR format:
```
Na5MnTe5
1.0
-5.3562 -2.6708 1.0125
5.5675 -5.0771 -2.1356
0.9027 1.4546 8.6124
Na Te Mn
5 5 1
Direct
0.6782 0.3565 0.8525
0.3039 0.6078 0.6844
0.0000 0.0000 0.5000
0.6961 0.3922 0.3156
0.3218 0.6435 0.1475
0.1323 0.2646 0.8465
0.5000 0.0000 0.0000
0.8677 0.7354 0.1535
0.8540 0.7079 0.7029
0.1460 0.2921 0.2971
0.0000 0.0000 0.0000
```

Results
The space group is C2/m (12). The calculation puts the formation energy (no corrections) at -0.53 eV/atom. The value obtained for the total energy is -37.336 eV for the cell shown.

***

Record 8
Computed, not measured: a relaxed structure of Cs2Cd3In4Hg at the PBE-GGA level of DFT.

The structure in POSCAR format:
```
Cs2Cd3In4Hg
1.0
5.1305 0.0000 0.0000
0.0000 5.1305 0.0000
0.0000 0.0000 12.7144
Cd In Cs Hg
3 4 2 1
Direct
0.5000 0.0000 0.8684
0.0000 0.0000 0.5000
0.0000 0.5000 0.1316
0.0000 0.5000 0.3746
0.5000 0.5000 0.0000
0.5000 0.0000 0.6254
0.0000 0.0000 0.0000
0.0000 0.5000 0.7476
0.5000 0.0000 0.2524
0.5000 0.5000 0.5000
```

Results
The space group is P-4m2 (115). The calculation puts the energy of formation at -0.068 eV per atom. The value obtained for the total energy is -16.383 eV for the cell shown.

***

Record 9
Computed, not measured: a relaxed structure of TbHo2AlAu4 at the PBE-GGA level of DFT.

The structure in POSCAR format:
```
TbHo2AlAu4
1.0
4.9355 0.0000 0.0000
2.4678 4.2743 0.0000
2.4678 1.4248 8.2201
Ho Al Tb Au
2 1 1 4
Direct
0.7571 0.7571 0.7286
0.2429 0.2429 0.2714
0.5000 0.5000 0.5000
0.0000 0.0000 0.0000
0.1220 0.1220 0.6341
0.8780 0.8780 0.3659
0.3839 0.3839 0.8483
0.6161 0.6161 0.1517
```

Results
The space group is R-3m (166). The calculation puts the energy of formation at -0.766 eV per atom. The value obtained for the total energy is -36.764 eV for the cell shown.

***

Record 10
Computed, not measured: a relaxed structure of Na2CaHg3 at the PBE-GGA level of DFT.

The structure in POSCAR format:
```
Na2CaHg3
1.0
-2.2943 1.8429 -2.2856
-2.4872 0.3215 2.7559
4.7810 9.8750 3.1630
Hg Na Ca
3 2 1
Direct
0.0000 0.0000 0.3313
0.0000 0.0000 0.0000
0.0000 0.0000 0.6687
0.5000 0.5000 0.8339
0.5000 0.5000 0.1661
0.5000 0.5000 0.5000
```

Results
The space group is P4/mmm (123). The calculation puts the energy of formation at -0.330 eV per atom. The value obtained for the total energy is -7.526 eV for the cell shown.

***

Record 11
Computed, not measured: a relaxed structure of PrZnBi2O6 at the PBE-GGA level of DFT.

The structure in POSCAR format:
```
PrZnBi2O6
1.0
-3.0298 3.0298 4.0698
3.0298 -3.0298 4.0698
3.0298 3.0298 -4.0698
O Pr Bi Zn
6 1 2 1
Direct
0.2712 0.2712 0.0000
0.6470 0.8273 0.4743
0.7288 0.7288 0.0000
0.1727 0.6470 0.8198
0.8273 0.3530 0.1802
0.3530 0.1727 0.5257
0.0000 0.0000 0.0000
0.2500 0.7500 0.5000
0.7500 0.2500 0.5000
0.5000 0.5000 0.0000
```

Results
The space group is I4/m (87). The calculation puts the formation energy (no corrections) at -1.32 eV/atom. For the energy above the most stable polymorph in this dataset, the calculation gives 355.0 meV/atom. The value obtained for the total energy is -56.730 eV for the cell shown.

***

Record 12
Computed, not measured: a relaxed structure of LiMn2ZnP at the PBE-GGA level of DFT.

The structure in POSCAR format:
```
LiMn2ZnP
1.0
-3.2614 2.7220 0.3795
-2.5901 -3.2063 0.7378
0.7703 0.3399 4.1811
Mn P Li Zn
2 1 1 1
Direct
0.5000 0.0000 0.0000
0.0000 0.0000 0.5000
0.5000 0.5000 0.5000
0.0000 0.0000 0.0000
0.0000 0.5000 0.0000
```

Results
The space group is P4/mmm (123). The calculation puts the energy of formation at 0.838 eV per atom. The value obtained for the total energy is -22.748 eV for the cell shown.

***

Please write out number 4 again, unchanged.
Computed, not measured: a relaxed structure of RbBiPbSe3 at the PBE-GGA level of DFT.

The structure in POSCAR format:
```
RbBiPbSe3
1.0
-1.6895 2.7585 -2.8545
-7.7217 -5.5347 -0.7783
-2.7438 6.5937 7.9959
Se Rb Bi Pb
6 2 2 2
Direct
0.7500 0.4229 0.1332
0.2500 0.1373 0.8354
0.7500 0.3391 0.5708
0.7500 0.8627 0.1646
0.2500 0.6609 0.4292
0.2500 0.5771 0.8668
0.2500 0.1683 0.1946
0.7500 0.8317 0.8054
0.7500 0.3657 0.8550
0.2500 0.6343 0.1450
0.2500 0.1451 0.5709
0.7500 0.8549 0.4291
```

Results
The space group is P2_1/m (11). The calculation puts the formation energy (no corrections) at -0.63 eV/atom. The value obtained for the total energy is -45.633 eV for the cell shown.